(1)
# NaPm4HoSe8

A relaxed structure of NaPm4HoSe8 (PBE, Alexandria via LeMat-Bulk).

For the formation energy from raw total energies, the calculation gives -1764 meV/atom.

Cell and atoms, written as CIF:
```
data_NaPm4HoSe8
_chemical_formula_sum 'Na3 Pm12 Ho3 Se24'
_space_group_name_H-M_alt 'R 3 m'
_space_group_IT_number 160
_space_group_name_Hall 'R 3 -2"'
_cell_length_a 8.6586
_cell_length_b 8.6586
_cell_length_c 20.9214
_cell_angle_alpha 90.00
_cell_angle_beta 90.00
_cell_angle_gamma 120.00
loop_
_atom_site_label
_atom_site_fract_x
_atom_site_fract_y
_atom_site_fract_z
Na1 0.0000 0.0000 0.0000
Pm1 0.0000 0.0000 0.2472
Pm2 0.1728 0.3455 0.4552
Ho1 0.0000 0.0000 0.6284
Se1 0.0000 0.0000 0.3812
Se2 0.0000 0.0000 0.8646
Se3 0.0292 0.5146 0.3741
Se4 0.1801 0.3602 0.2062
```

=====

(2)
# NaPm2HoSe4

A relaxed structure of NaPm2HoSe4 (PBE, Alexandria via LeMat-Bulk).

For the formation energy from raw total energies, the calculation gives -1747 meV/atom.

Cell and atoms, written as CIF:
```
data_NaPm2HoSe4
_chemical_formula_sum 'Na1 Pm2 Ho1 Se4'
_space_group_name_H-M_alt 'P 1 2/m 1'
_space_group_IT_number 10
_space_group_name_Hall '-P 2y'
_cell_length_a 7.209
_cell_length_b 4.138
_cell_length_c 7.219
_cell_angle_alpha 90.00
_cell_angle_beta 109.06
_cell_angle_gamma 90.00
loop_
_atom_site_label
_atom_site_fract_x
_atom_site_fract_y
_atom_site_fract_z
Na1 0.000 0.000 0.000
Pm1 0.000 0.500 0.500
Pm2 0.500 0.000 0.500
Ho1 0.500 0.500 0.000
Se1 0.253 0.500 0.245
Se2 0.256 0.000 0.761
```

=====

(3)
# Na2PmHoSe4

A relaxed structure of Na2PmHoSe4 (PBE, Alexandria via LeMat-Bulk).

For the formation energy from raw total energies, the calculation gives -1696 meV/atom.

Cell and atoms, written as CIF:
```
data_Na2PmHoSe4
_chemical_formula_sum 'Na2 Pm1 Ho1 Se4'
_space_group_name_H-M_alt 'P 1 2/m 1'
_space_group_IT_number 10
_space_group_name_Hall '-P 2y'
_cell_length_a 7.259
_cell_length_b 4.190
_cell_length_c 7.421
_cell_angle_alpha 90.00
_cell_angle_beta 109.04
_cell_angle_gamma 90.00
loop_
_atom_site_label
_atom_site_fract_x
_atom_site_fract_y
_atom_site_fract_z
Na1 0.000 0.000 0.000
Na2 0.500 0.500 0.000
Pm1 0.000 0.500 0.500
Ho1 0.500 0.000 0.500
Se1 0.251 0.000 0.733
Se2 0.263 0.500 0.270
```

=====

no.,VASP energy (eV/atom),Fermi-level density of states (states/eV per atom)
1,-5.534,0.00
2,-5.414,0.34
3,-4.934,0.00